[1]
Compound: CdTc2W
Source: the Alexandria database
Functional: PBE
Structure: relaxed

```
CdTc2W
1.0
-6.3009 -4.7259 5.5987
-6.1674 -6.5724 3.4853
-4.2651 -6.6616 5.5510
Tc Cd W
2 1 1
Cartesian
-4.2445 -4.5556 3.7123
-16.6179 -17.8360 14.5340
-12.5145 -13.4319 10.9452
-8.4565 -9.0763 7.3960
```

Calculated values
- space-group type = R3m
- energy of formation from the pure elements (eV/atom) = 0.29

***

[2]
Compound: HoFeB14
Source: the Alexandria database
Functional: PBE
Structure: relaxed

```
HoFeB14
1.0
5.3334 0.0000 2.3735
2.0144 6.5065 2.6525
-0.0580 0.0176 7.3092
B Fe Ho
28 2 2
Cartesian
6.3335 6.3072 10.9208
3.5927 1.5903 6.2850
0.5901 0.5385 5.8531
4.8415 1.3135 3.4788
3.0096 4.1264 7.5953
0.9305 1.4602 7.3973
2.4484 5.2106 8.8564
6.6998 5.9857 6.4821
4.5483 1.4602 9.0073
2.1486 4.0883 5.9666
3.6425 0.2170 2.6098
6.1204 4.9920 7.7841
4.2803 2.3978 4.7399
5.1413 2.4358 6.3686
3.9639 2.6082 7.7603
2.2482 2.6082 6.9968
3.3260 3.9160 4.5749
1.9380 0.0473 2.8241
5.3518 6.4769 9.5111
3.6972 4.9339 6.0502
1.1695 1.5321 4.5511
0.9563 0.2170 1.4144
4.7959 4.0883 7.1447
5.0417 3.9160 5.3384
6.3593 5.0640 4.9379
2.4940 2.4358 5.1905
3.6474 6.3072 9.7254
2.7416 5.0640 3.3279
2.6377 0.0088 4.8414
-0.0290 0.0088 3.6546
5.1943 4.0381 9.8650
2.0955 2.4860 2.4702
```

Calculated values
- space-group type = Imma
- energy of formation from the pure elements (eV/atom) = -0.16

***

[3]
Compound: YZrCuTc
Source: the Alexandria database
Functional: PBE
Structure: relaxed

```
YZrCuTc
1.0
-4.4220 0.0834 -1.7621
-2.5068 -4.0338 -0.3317
-3.7227 -0.7325 2.8760
Cu Zr Tc Y
1 1 1 1
Cartesian
-7.9887 -3.5122 0.5867
-5.3258 -2.3414 0.3911
-2.6629 -1.1707 0.1956
0.0000 0.0000 0.0000
```

Calculated values
- space-group type = F-43m
- energy of formation from the pure elements (eV/atom) = -0.15

***

[4]
Compound: K3BS3O12
Source: the Alexandria database
Functional: PBE
Structure: relaxed

```
K3BS3O12
1.0
14.0018 0.0096 0.0066
4.5533 13.2408 -0.0066
-6.4030 -10.6506 6.4512
O K S B
48 12 12 4
Cartesian
3.3702 -0.2045 1.1343
15.3246 5.0067 0.1903
6.8940 -1.6276 2.9845
13.9381 4.6137 2.2309
11.4061 2.6130 3.0392
4.4973 1.7286 0.2444
13.6126 8.5810 0.8098
-1.4605 -5.9812 5.6415
7.4524 4.6662 4.3566
11.6488 5.0547 2.6973
4.5882 -8.1751 5.9881
10.8023 -0.2220 5.1503
11.4598 8.2812 1.9214
2.4441 -1.6726 2.7592
12.3610 4.0574 0.5316
8.7575 0.5040 0.4985
-3.1725 -2.4068 6.2609
-1.7860 -2.0138 4.2203
6.9828 5.1266 1.9914
2.1794 -2.0204 6.2615
-0.5347 -3.7660 5.4533
8.7819 2.8044 5.3169
7.6548 0.8713 6.2068
1.2373 2.9793 5.2137
9.7080 4.2724 3.6920
3.3946 2.0958 5.9527
9.9727 4.6202 0.1897
7.1183 2.7994 2.7304
0.3188 -1.4779 1.5011
13.5086 7.5498 3.0386
2.3320 4.7608 2.4125
12.6868 6.3659 0.9980
10.9148 -0.3794 1.2375
9.8201 -2.1609 4.0387
5.0938 -6.1016 4.7301
5.1693 -2.5268 4.4598
7.0583 8.7015 1.7212
1.3498 2.8218 1.3009
11.8333 4.0777 4.9501
0.5033 -2.4548 3.7539
5.0338 -0.1995 3.7208
0.6923 -5.6814 4.5298
-0.2089 -1.4575 5.9196
7.5639 10.7750 0.4631
4.6997 -2.0663 2.0946
5.2581 4.2275 3.4668
-1.3565 -4.9499 3.4126
0.7460 -0.0131 3.4120
7.7267 -3.8052 4.9028
15.8473 10.0275 1.6739
-0.9316 1.3046 5.2207
2.8813 -4.0348 4.4528
4.4254 6.4051 1.5484
11.4520 10.5950 0.1843
3.5358 2.0635 3.0380
0.7001 -7.9952 6.2669
13.0837 1.2953 1.2305
8.6163 0.5363 3.4132
-3.6952 -7.4276 4.7773
9.2708 6.6346 1.9984
7.4140 9.2349 0.4204
6.6570 4.1520 3.0414
11.2134 3.9144 3.6493
0.9387 -1.3145 2.8019
12.8344 7.7873 1.7626
14.4405 12.8695 0.1809
-2.2884 -10.2696 6.2703
10.8235 -1.6824 4.9915
1.3286 4.2823 1.4598
-0.6823 -5.1874 4.6887
5.4951 -1.5522 3.4098
4.7381 -6.6350 6.0308
12.7042 5.0554 1.6145
-0.5521 -2.4556 4.8368
8.7254 4.1697 4.8368
3.4267 -1.5698 1.6145
```

Calculated values
- space-group type = Ibca
- formation energy without anion corrections (meV/atom) = -1775.3

***

[5]
Compound: La5OsPb2
Source: the Alexandria database
Functional: PBE
Structure: relaxed

```
La5OsPb2
1.0
-2.7089 3.7185 1.4365
-5.1777 -5.3203 4.0080
7.1062 1.0777 10.6109
La Pb Os
10 4 2
Cartesian
-2.5889 -2.6602 2.0040
1.0864 -1.4573 13.9059
-1.8152 -1.3266 8.0961
-3.1115 -4.4248 5.5861
3.5531 0.5389 5.3054
0.2274 -1.6509 4.7022
1.0348 0.8025 7.9592
5.0400 0.1822 9.0327
-1.8668 0.9331 2.1495
1.7011 -2.5918 9.9166
-1.3329 -2.2977 11.5193
-3.1531 -1.0560 4.8725
2.3727 0.5318 11.1828
0.5525 1.7736 4.5360
0.9642 -2.1213 7.3094
0.0000 0.0000 0.0000
```

Calculated values
- space-group type = Pbam
- energy of formation from the pure elements (eV/atom) = -0.49

***

[6]
Compound: KTaBe2
Source: the Alexandria database
Functional: PBE
Structure: relaxed

```
KTaBe2
1.0
-1.6046 2.4403 5.2585
-1.5063 -3.4038 4.7251
3.7203 2.2726 -4.1444
Ta Be K
1 2 1
Cartesian
0.4775 -0.7606 2.3107
-3.0798 -0.9539 9.8840
0.1311 2.0694 3.5315
-1.5855 -0.4911 5.0884
```

Calculated values
- space-group type = Imm2
- energy of formation from the pure elements (eV/atom) = 1.00

***

Mass density, record by record: 12.6, 4.9, 7.4, 2.3, 8.3, 5.6 g/cm3
Calculated total energy, record by record: -33.46, -218.03, -30.07, -462.32, -94.36, -16.41 eV for the cell shown
Spin magnetization, record by record: 0.00, 6.09, 0.00, 0.20, 0.00, 0.00 μB per cell